(1)
{"formula": "SiHg", "functional": "PBEsol", "state": "optimized geometry", "volume_a3_per_atom": 20.232, "crystal_system": "tetragonal", "raw_formation_energy_ev_per_atom": 0.3945, "e_tot_ev_per_atom": -2.762, "space_group": "P4/mmm (123)", "n_ef_per_ev_atom": 0.3563, "polymorph_energy_mev_per_atom": 174, "lattice_angstrom": [[3.809, 0.000, 0.000], [0.000, 3.809, 0.000], [0.000, 0.000, 2.789]], "species": ["Si", "Hg"], "frac_coords": [[0.000, 0.000, 0.000], [0.500, 0.500, 0.000]]}


(2)
{"formula": "CdTcSb", "functional": "PBEsol", "state": "optimized geometry", "volume_a3_per_atom": 20.967, "crystal_system": "cubic", "raw_formation_energy_ev_per_atom": 0.6788, "e_tot_ev_per_atom": -4.995, "space_group": "F-43m (216)", "n_ef_per_ev_atom": 0.6924, "polymorph_energy_mev_per_atom": 504, "lattice_angstrom": [[6.313, 0.000, 0.000], [0.000, 6.313, 0.000], [0.000, 0.000, 6.313]], "species": ["Cd", "Cd", "Cd", "Cd", "Tc", "Tc", "Tc", "Tc", "Sb", "Sb", "Sb", "Sb"], "frac_coords": [[0.000, 0.000, 0.000], [0.000, 0.500, 0.500], [0.500, 0.000, 0.500], [0.500, 0.500, 0.000], [0.000, 0.000, 0.500], [0.000, 0.500, 0.000], [0.500, 0.000, 0.000], [0.500, 0.500, 0.500], [0.250, 0.250, 0.750], [0.250, 0.750, 0.250], [0.750, 0.250, 0.250], [0.750, 0.750, 0.750]]}


(3)
{"formula": "RbSCl2F", "functional": "PBEsol", "state": "optimized geometry", "volume_a3_per_atom": 52.504, "crystal_system": "tetragonal", "raw_formation_energy_ev_per_atom": 0.3765, "e_tot_ev_per_atom": -1.894, "space_group": "P4/mmm (123)", "n_ef_per_ev_atom": 4.0236, "lattice_angstrom": [[6.124, 0.000, 0.000], [0.000, 6.124, 0.000], [0.000, 0.000, 7.000]], "species": ["Rb", "S", "Cl", "Cl", "F"], "frac_coords": [[0.000, 0.000, 0.000], [0.000, 0.000, 0.500], [0.000, 0.500, 0.000], [0.500, 0.000, 0.000], [0.500, 0.500, 0.500]]}


(4)
{"formula": "LiLaBr2", "functional": "PBEsol", "state": "optimized geometry", "volume_a3_per_atom": 24.132, "crystal_system": "tetragonal", "raw_formation_energy_ev_per_atom": -1.2390, "e_tot_ev_per_atom": -4.002, "space_group": "P4/mmm (123)", "n_ef_per_ev_atom": 0.5455, "polymorph_energy_mev_per_atom": 210, "lattice_angstrom": [[3.729, 0.000, 0.000], [0.000, 3.729, 0.000], [0.000, 0.000, 6.942]], "species": ["Li", "La", "Br", "Br"], "frac_coords": [[0.000, 0.000, 0.000], [0.000, 0.000, 0.500], [0.500, 0.500, 0.257], [0.500, 0.500, 0.743]]}